DFT (GGA-PBE) results for crystalline PrScZnPb at its relaxed geometry.

Properties
ΔH_f (0 K) = -0.333 eV/atom
Raw total energy = -17.42 eV per formula unit

CIF file:
```
data_PrScZnPb
_space_group_name_H-M_alt 'F -4 3 m'
_space_group_IT_number 216
_space_group_name_Hall 'F -4 2 3'
_cell_length_a 7.382
_cell_length_b 7.382
_cell_length_c 7.382
_cell_angle_alpha 90.00
_cell_angle_beta 90.00
_cell_angle_gamma 90.00
loop_
_atom_site_label
_atom_site_type_symbol
_atom_site_fract_x
_atom_site_fract_y
_atom_site_fract_z
Pr1 Pr 0.000 0.000 0.000
Sc1 Sc 0.000 0.000 0.500
Zn1 Zn 0.250 0.250 0.750
Pb1 Pb 0.250 0.250 0.250
```